1.
# Be2NiAu

Be2NiAu at its PBEsol-relaxed geometry (meta-GGA SCAN, the Alexandria database).

Lattice parameters (Å, degrees): 2.8036 2.8036 5.3909 90.00 90.00 90.00
Last column: nearest neighbours and their distance in Å.
Fractional positions:
Ni 0.5000 0.5000 0.0000  8 Be 2.28
Au 0.5000 0.5000 0.5000  8 Be 2.53, 2 Ni 2.70, 4 Au 2.80
Be 0.0000 0.0000 0.7925  1 Be 2.24, 4 Ni 2.28
Be 0.0000 0.0000 0.2075  1 Be 2.24, 4 Ni 2.28

Output
- Total moment: 0.206 μB/cell
- SG: No. 123
- E_form: -378.4 meV per atom
- Electronic total energy: -95.6 eV per formula unit

---

2.
# Be4NiAu

Be4NiAu at its PBEsol-relaxed geometry (meta-GGA SCAN, the Alexandria database).

Lattice parameters (Å, degrees): 4.3069 4.3069 4.3069 60.00 60.00 60.00
Last column: nearest neighbours and their distance in Å.
Fractional positions:
Ni 0.7500 0.7500 0.7500  12 Be 2.52, 4 Au 2.64
Au 0.0000 0.0000 0.0000  12 Be 2.53, 4 Ni 2.64
Be 0.3760 0.3760 0.3760  6 Be 2.14-2.17
Be 0.3760 0.3760 0.8721  6 Be 2.14-2.17
Be 0.8721 0.3760 0.3760  6 Be 2.14-2.17
Be 0.3760 0.8721 0.3760  6 Be 2.14-2.17

Output
- Total moment: 0.000 μB/cell
- SG: No. 216
- E_form: -339.4 meV per atom
- Electronic total energy: -104.8 eV per formula unit

---

3.
# BeOs2Au

BeOs2Au at its PBEsol-relaxed geometry (meta-GGA SCAN, the Alexandria database).

Lattice parameters (Å, degrees): 2.7891 2.7891 6.7915 90.00 90.00 90.00
Last column: nearest neighbours and their distance in Å.
Fractional positions:
Os 0.0000 0.0000 0.9766  4 Be 2.47, 4 Os 2.59
Os 0.5000 0.5000 0.2245  8 Os 2.59-2.79
Au 0.0000 0.0000 0.5409  4 Be 2.46
Be 0.5000 0.5000 0.7580  4 Au 2.46, 4 Os 2.47

Output
- Total moment: 0.000 μB/cell
- SG: No. 99
- E_form: -5.2 meV per atom
- Electronic total energy: -217.3 eV per formula unit